Compound: ScMn3Be
Source: the Alexandria database
Functional: GGA-PBE
Structure: optimized geometry

Geometry as POSCAR:
```
ScMn3Be
1.0
4.1601 0.0000 0.0000
0.0000 4.1601 0.0000
0.0000 0.0000 4.1601
Sc Mn Be
1 3 1
Direct
0.0000 0.0000 0.0000
0.0000 0.5000 0.5000
0.5000 0.0000 0.5000
0.5000 0.5000 0.0000
0.5000 0.5000 0.5000
```

Results
crystal system = cubic
energy = -7.1654 eV/atom